<w>
Entry from Alexandria: LaSmPt2 after structural relaxation (PBE).

Cell and atoms, written as POSCAR:
```
LaSmPt2
1.0
0.000 3.618 3.618
3.618 0.000 3.618
3.618 3.618 0.000
La Sm Pt
1 1 2
Cartesian
0.000 0.000 0.000
3.618 3.618 3.618
1.809 1.809 1.809
5.427 5.427 5.427
```

**M_tot**: 0.0 μB per formula unit

=====

<x>
Entry from Alexandria: LaSmPt2 after structural relaxation (PBE).

Cell and atoms, written as POSCAR:
```
LaSmPt2
1.0
4.575 0.000 0.000
0.000 1.960 5.467
0.000 -1.960 5.467
La Sm Pt
1 1 2
Cartesian
0.000 0.000 0.000
2.288 0.000 7.953
0.000 0.000 2.978
2.288 0.000 4.944
```

**M_tot**: 0.0 μB per formula unit

=====

The structure with the most favorable energy is <x>; the runner-up is 0.121 eV/atom above it.

=====

<w>
Entry from Alexandria: La2Sn2Pt after structural relaxation (PBE).

Cell and atoms, written as POSCAR:
```
La2Sn2Pt
1.0
5.713 -2.354 0.000
5.713 2.354 0.000
-5.368 0.000 10.242
La Sn Pt
4 4 2
Cartesian
-1.724 0.000 3.391
1.489 0.000 1.281
4.570 0.000 8.961
7.783 0.000 6.851
1.530 0.000 4.620
4.804 0.000 1.185
1.255 0.000 9.057
4.528 0.000 5.622
-0.460 0.000 6.861
6.518 0.000 3.381
```

**M_tot**: 0.0 μB per formula unit

=====

<x>
Entry from Alexandria: La2Sn2Pt after structural relaxation (PBE).

Cell and atoms, written as POSCAR:
```
La2Sn2Pt
1.0
7.984 0.000 0.000
0.000 7.984 0.000
0.000 0.000 4.942
La Sn Pt
4 4 2
Cartesian
1.421 2.570 0.000
2.570 6.562 0.000
5.413 1.421 0.000
6.562 5.413 0.000
0.995 4.987 2.471
2.997 0.995 2.471
4.987 6.988 2.471
6.988 2.997 2.471
0.000 0.000 0.000
3.992 3.992 0.000
```

**M_tot**: 0.0 μB per formula unit

=====

<y>
Entry from Alexandria: La2Sn2Pt after structural relaxation (PBE).

Cell and atoms, written as POSCAR:
```
La2Sn2Pt
1.0
-2.041 2.041 8.761
2.041 -2.041 8.761
2.041 2.041 -8.761
La Sn Pt
2 2 1
Cartesian
0.000 0.000 1.628
0.000 0.000 15.893
2.041 0.000 4.380
0.000 2.041 4.380
0.000 0.000 8.761
```

**M_tot**: 0.0 μB per formula unit

=====

The structure with the most favorable energy is <w>; the runner-up is 0.395 eV/atom above it.

=====

<w>
Entry from Alexandria: La2Sn3Pt after structural relaxation (PBE).

Cell and atoms, written as POSCAR:
```
La2Sn3Pt
1.0
5.824 -2.376 0.000
5.824 2.376 0.000
-4.897 0.000 5.792
La Sn Pt
2 3 1
Cartesian
0.000 0.000 0.000
-1.529 0.000 3.536
3.533 0.000 1.268
3.311 0.000 5.513
6.614 0.000 2.416
1.651 0.000 3.360
```

**M_tot**: 0.0 μB per formula unit

=====

<x>
Entry from Alexandria: La2Sn3Pt after structural relaxation (PBE).

Cell and atoms, written as POSCAR:
```
La2Sn3Pt
1.0
4.331 0.000 0.000
0.000 4.836 0.000
0.000 0.000 8.003
La Sn Pt
2 3 1
Cartesian
0.000 0.000 0.000
0.000 2.418 3.831
2.165 0.000 5.036
2.165 2.418 1.332
2.165 2.418 6.514
2.165 0.000 2.387
```

**M_tot**: 0.0 μB per formula unit

=====

The structure with the most favorable energy is <w>; the runner-up is 0.028 eV/atom above it.

=====

<w>
Entry from Alexandria: La4SnPt after structural relaxation (PBE).

Cell and atoms, written as POSCAR:
```
La4SnPt
1.0
8.320 -3.004 0.000
8.320 3.004 0.000
-2.291 0.000 7.784
La Sn Pt
8 2 2
Cartesian
5.799 2.119 4.347
3.411 0.805 6.767
7.404 2.119 7.329
4.557 -0.805 2.875
9.792 0.805 4.909
6.944 -2.119 0.455
10.937 -0.805 1.017
8.550 -2.119 3.437
7.747 0.829 1.946
6.602 -0.829 5.838
3.015 1.502 3.892
4.160 -1.502 0.000
```

**M_tot**: 0.0 μB per formula unit

=====

<x>
Entry from Alexandria: La4SnPt after structural relaxation (PBE).

Cell and atoms, written as POSCAR:
```
La4SnPt
1.0
5.852 0.000 0.000
0.000 7.263 0.000
-1.560 0.000 8.718
La Sn Pt
8 2 2
Cartesian
0.775 1.816 0.429
0.634 5.447 3.253
0.821 3.777 6.550
0.821 7.117 6.550
3.471 0.145 2.168
3.471 3.486 2.168
3.658 1.816 5.465
3.517 5.447 8.289
0.685 1.816 3.678
3.608 5.447 5.040
1.920 5.447 0.512
2.372 1.816 8.206
```

**M_tot**: 0.0 μB per formula unit

=====

The structure with the most favorable energy is <x>; the runner-up is 0.047 eV/atom above it.

=====

<w>
Entry from Alexandria: SrLa3Pt after structural relaxation (PBE).

Cell and atoms, written as POSCAR:
```
SrLa3Pt
1.0
3.975 0.000 0.000
0.000 3.715 6.486
0.000 -3.715 6.486
Sr La Pt
1 3 1
Cartesian
0.000 0.000 0.000
0.000 0.000 5.427
1.987 -1.812 9.561
1.987 1.812 9.561
1.987 0.000 7.427
```

**M_tot**: 0.0 μB per formula unit

=====

<x>
Entry from Alexandria: SrLa3Pt after structural relaxation (PBE).

Cell and atoms, written as POSCAR:
```
SrLa3Pt
1.0
3.771 0.000 0.000
0.000 3.411 9.458
0.000 -3.411 9.458
Sr La Pt
1 3 1
Cartesian
0.000 0.000 0.000
0.000 -1.759 12.801
0.000 1.759 12.801
1.886 0.000 15.267
1.886 0.000 11.578
```

**M_tot**: 0.0 μB per formula unit

=====

The structure with the most favorable energy is <w>; the runner-up is 0.344 eV/atom above it.

=====

<w>
Entry from Alexandria: SrLa3Pt after structural relaxation (PBE).

Cell and atoms, written as POSCAR:
```
SrLa3Pt
1.0
6.556 -7.338 0.000
6.556 7.338 0.000
-1.084 0.000 7.579
Sr La Pt
4 12 4
Cartesian
4.072 4.579 6.673
7.415 4.579 4.695
4.614 -4.579 2.884
7.957 -4.579 0.906
0.972 1.138 4.978
4.178 2.566 3.470
1.514 -1.138 1.188
4.981 1.003 0.248
4.439 -1.003 4.037
8.393 2.566 0.320
3.636 -2.566 7.259
7.590 1.003 3.542
7.047 -1.003 7.331
10.515 1.138 6.391
7.850 -2.566 4.109
11.057 -1.138 2.601
6.285 3.822 1.895
5.743 1.222 5.684
6.285 -1.222 1.895
5.743 -3.822 5.684
```

**M_tot**: 0.0 μB per formula unit

=====

<x>
Entry from Alexandria: SrLa3Pt after structural relaxation (PBE).

Cell and atoms, written as POSCAR:
```
SrLa3Pt
1.0
4.765 0.000 0.000
-2.382 4.126 0.000
0.000 0.000 23.276
Sr La Pt
2 6 2
Cartesian
0.000 0.000 0.000
0.000 0.000 11.638
0.000 0.000 5.819
0.000 0.000 17.457
0.000 2.751 2.914
0.000 2.751 8.724
2.382 1.375 14.552
2.382 1.375 20.362
0.000 2.751 5.819
2.382 1.375 17.457
```

**M_tot**: 0.0 μB per formula unit

=====

The structure with the most favorable energy is <w>; the runner-up is 0.286 eV/atom above it.